Entry 1:
# LiSc2Cl6 | Alexandria via LeMat-Bulk | PBE | optimized geometry
data_LiSc2Cl6
_chemical_formula_sum 'Li3 Sc6 Cl18'
_cell_length_a 6.4982
_cell_length_b 6.4982
_cell_length_c 17.6549
_cell_angle_alpha 90.00
_cell_angle_beta 90.00
_cell_angle_gamma 120.00
_space_group_name_H-M_alt 'R 3'
_space_group_IT_number 146
_space_group_name_Hall 'R 3'
loop_
_atom_site_label
_atom_site_type_symbol
_atom_site_fract_x
_atom_site_fract_y
_atom_site_fract_z
Li1 Li 0.0000 0.0000 0.0000
Sc1 Sc 0.0000 0.0000 0.4967
Sc2 Sc 0.0000 0.0000 0.6698
Cl1 Cl 0.9999 0.3348 0.7480
Cl2 Cl 0.0139 0.6494 0.2506
# **Uncorrected formation energy**: -1.962 eV/atom
# **Distance to the lowest polymorph of the same formula**: 0 kJ/mol of formula units


Entry 2:
# LiScCl2 | Alexandria via LeMat-Bulk | PBE | optimized geometry
data_LiScCl2
_chemical_formula_sum 'Li1 Sc1 Cl2'
_cell_length_a 3.288
_cell_length_b 3.288
_cell_length_c 6.418
_cell_angle_alpha 90.00
_cell_angle_beta 90.00
_cell_angle_gamma 90.00
_space_group_name_H-M_alt 'P 4/m m m'
_space_group_IT_number 123
_space_group_name_Hall '-P 4 2'
loop_
_atom_site_label
_atom_site_type_symbol
_atom_site_fract_x
_atom_site_fract_y
_atom_site_fract_z
Li1 Li 0.000 0.000 0.000
Sc1 Sc 0.000 0.000 0.500
Cl1 Cl 0.500 0.500 0.263
# **Uncorrected formation energy**: -1.164 eV/atom
# **Distance to the lowest polymorph of the same formula**: 93 kJ/mol of formula units


Entry 3:
# LiSc2Cl | Alexandria via LeMat-Bulk | PBE | optimized geometry
data_LiSc2Cl
_chemical_formula_sum 'Li1 Sc2 Cl1'
_cell_length_a 3.492
_cell_length_b 3.341
_cell_length_c 7.566
_cell_angle_alpha 90.00
_cell_angle_beta 90.18
_cell_angle_gamma 90.00
_space_group_name_H-M_alt 'P 1 2/m 1'
_space_group_IT_number 10
loop_
_space_group_symop_operation_xyz
'x,y,z'
'-x,-y,-z'
'-x,y,-z'
'x,-y,z'
loop_
_atom_site_label
_atom_site_type_symbol
_atom_site_fract_x
_atom_site_fract_y
_atom_site_fract_z
Li1 Li 0.000 0.000 0.000
Sc1 Sc 0.498 0.500 0.773
Cl1 Cl 0.500 0.000 0.500
# **Uncorrected formation energy**: -0.383 eV/atom
# **Distance to the lowest polymorph of the same formula**: 82 kJ/mol of formula units


Entry 4:
# LiSc3Cl | Alexandria via LeMat-Bulk | PBE | optimized geometry
data_LiSc3Cl
_chemical_formula_sum 'Li1 Sc3 Cl1'
_cell_length_a 4.864
_cell_length_b 4.864
_cell_length_c 4.864
_cell_angle_alpha 90.00
_cell_angle_beta 90.00
_cell_angle_gamma 90.00
_space_group_name_H-M_alt 'P m -3 m'
_space_group_IT_number 221
_space_group_name_Hall '-P 4 2 3'
loop_
_atom_site_label
_atom_site_type_symbol
_atom_site_fract_x
_atom_site_fract_y
_atom_site_fract_z
Li1 Li 0.000 0.000 0.000
Sc1 Sc 0.000 0.500 0.500
Cl1 Cl 0.500 0.500 0.500
# **Uncorrected formation energy**: -0.213 eV/atom
# **Distance to the lowest polymorph of the same formula**: 0 kJ/mol of formula units


Entry 5:
# LiSc2Cl | Alexandria via LeMat-Bulk | PBE | optimized geometry
data_LiSc2Cl
_chemical_formula_sum 'Li1 Sc2 Cl1'
_cell_length_a 4.073
_cell_length_b 4.073
_cell_length_c 5.400
_cell_angle_alpha 90.00
_cell_angle_beta 90.00
_cell_angle_gamma 90.00
_space_group_name_H-M_alt 'P 4/m m m'
_space_group_IT_number 123
_space_group_name_Hall '-P 4 2'
loop_
_atom_site_label
_atom_site_type_symbol
_atom_site_fract_x
_atom_site_fract_y
_atom_site_fract_z
Li1 Li 0.000 0.000 0.000
Sc1 Sc 0.000 0.500 0.500
Cl1 Cl 0.500 0.500 0.000
# **Uncorrected formation energy**: -0.083 eV/atom
# **Distance to the lowest polymorph of the same formula**: 198 kJ/mol of formula units


Entry 6:
# LiSc2Cl | Alexandria via LeMat-Bulk | PBE | optimized geometry
data_LiSc2Cl
_chemical_formula_sum 'Li1 Sc2 Cl1'
_cell_length_a 3.257
_cell_length_b 3.218
_cell_length_c 8.680
_cell_angle_alpha 90.00
_cell_angle_beta 100.59
_cell_angle_gamma 90.00
_space_group_name_H-M_alt 'P 1 m 1'
_space_group_IT_number 6
loop_
_space_group_symop_operation_xyz
'x,y,z'
'x,-y,z'
loop_
_atom_site_label
_atom_site_type_symbol
_atom_site_fract_x
_atom_site_fract_y
_atom_site_fract_z
Li1 Li 0.000 0.000 0.000
Sc1 Sc 0.355 0.500 0.705
Sc2 Sc 0.725 0.000 0.441
Cl1 Cl 0.122 0.500 0.234
# **Uncorrected formation energy**: -0.562 eV/atom
# **Distance to the lowest polymorph of the same formula**: 13 kJ/mol of formula units


Entry 7:
# LiScCl2 | Alexandria via LeMat-Bulk | PBE | optimized geometry
data_LiScCl2
_chemical_formula_sum 'Li2 Sc2 Cl4'
_cell_length_a 6.918
_cell_length_b 7.515
_cell_length_c 3.569
_cell_angle_alpha 90.00
_cell_angle_beta 90.30
_cell_angle_gamma 90.00
_space_group_name_H-M_alt 'C 1 2/m 1'
_space_group_IT_number 12
loop_
_space_group_symop_operation_xyz
'x,y,z'
'-x,-y,-z'
'-x,y,-z'
'x,-y,z'
'x+1/2,y+1/2,z'
'-x+1/2,-y+1/2,-z'
'-x+1/2,y+1/2,-z'
'x+1/2,-y+1/2,z'
loop_
_atom_site_label
_atom_site_type_symbol
_atom_site_fract_x
_atom_site_fract_y
_atom_site_fract_z
Li1 Li 0.000 0.000 0.000
Sc1 Sc 0.000 0.500 0.000
Cl1 Cl 0.250 0.250 0.000
# **Uncorrected formation energy**: -1.179 eV/atom
# **Distance to the lowest polymorph of the same formula**: 87 kJ/mol of formula units


Entry 8:
# LiSc2Cl6 | Alexandria via LeMat-Bulk | PBE | optimized geometry
data_LiSc2Cl6
_chemical_formula_sum 'Li2 Sc4 Cl12'
_cell_length_a 13.582
_cell_length_b 5.137
_cell_length_c 7.534
_cell_angle_alpha 90.00
_cell_angle_beta 95.42
_cell_angle_gamma 90.00
_space_group_name_H-M_alt 'C 1 2/m 1'
_space_group_IT_number 12
loop_
_space_group_symop_operation_xyz
'x,y,z'
'-x,-y,-z'
'-x,y,-z'
'x,-y,z'
'x+1/2,y+1/2,z'
'-x+1/2,-y+1/2,-z'
'-x+1/2,y+1/2,-z'
'x+1/2,-y+1/2,z'
loop_
_atom_site_label
_atom_site_type_symbol
_atom_site_fract_x
_atom_site_fract_y
_atom_site_fract_z
Li1 Li 0.000 0.000 0.000
Sc1 Sc 0.239 0.000 0.661
Cl1 Cl 0.070 0.000 0.726
Cl2 Cl 0.119 0.500 0.130
Cl3 Cl 0.238 0.500 0.667
# **Uncorrected formation energy**: -1.839 eV/atom
# **Distance to the lowest polymorph of the same formula**: 107 kJ/mol of formula units


Entry 9:
# LiScCl2 | Alexandria via LeMat-Bulk | PBE | optimized geometry
data_LiScCl2
_chemical_formula_sum 'Li2 Sc2 Cl4'
_cell_length_a 3.393
_cell_length_b 3.534
_cell_length_c 12.431
_cell_angle_alpha 90.00
_cell_angle_beta 90.00
_cell_angle_gamma 90.00
_space_group_name_H-M_alt 'I m m 2'
_space_group_IT_number 44
loop_
_space_group_symop_operation_xyz
'x,y,z'
'-x,-y,z'
'-x,y,z'
'x,-y,z'
'x+1/2,y+1/2,z+1/2'
'-x+1/2,-y+1/2,z+1/2'
'-x+1/2,y+1/2,z+1/2'
'x+1/2,-y+1/2,z+1/2'
loop_
_atom_site_label
_atom_site_type_symbol
_atom_site_fract_x
_atom_site_fract_y
_atom_site_fract_z
Li1 Li 0.000 0.000 0.000
Sc1 Sc 0.000 0.500 0.291
Cl1 Cl 0.000 0.000 0.449
Cl2 Cl 0.000 0.500 0.701
# **Uncorrected formation energy**: -1.268 eV/atom
# **Distance to the lowest polymorph of the same formula**: 53 kJ/mol of formula units


Entry 10:
# LiSc2Cl | Alexandria via LeMat-Bulk | PBE | optimized geometry
data_LiSc2Cl
_chemical_formula_sum 'Li4 Sc8 Cl4'
_cell_length_a 6.868
_cell_length_b 6.868
_cell_length_c 6.868
_cell_angle_alpha 90.00
_cell_angle_beta 90.00
_cell_angle_gamma 90.00
_space_group_name_H-M_alt 'F m -3 m'
_space_group_IT_number 225
_space_group_name_Hall '-F 4 2 3'
loop_
_atom_site_label
_atom_site_type_symbol
_atom_site_fract_x
_atom_site_fract_y
_atom_site_fract_z
Li1 Li 0.000 0.000 0.000
Sc1 Sc 0.250 0.250 0.250
Cl1 Cl 0.000 0.000 0.500
# **Uncorrected formation energy**: -0.039 eV/atom
# **Distance to the lowest polymorph of the same formula**: 215 kJ/mol of formula units


Entry 11:
# LiSc2Cl | Alexandria via LeMat-Bulk | PBE | optimized geometry
data_LiSc2Cl
_chemical_formula_sum 'Li3 Sc6 Cl3'
_cell_length_a 3.3768
_cell_length_b 3.3768
_cell_length_c 29.3196
_cell_angle_alpha 90.00
_cell_angle_beta 90.00
_cell_angle_gamma 120.00
_space_group_name_H-M_alt 'R -3 m'
_space_group_IT_number 166
_space_group_name_Hall '-R 3 2"'
loop_
_atom_site_label
_atom_site_type_symbol
_atom_site_fract_x
_atom_site_fract_y
_atom_site_fract_z
Li1 Li 0.0000 0.0000 0.0000
Sc1 Sc 0.0000 0.0000 0.4167
Cl1 Cl 0.0000 0.0000 0.5000
# **Uncorrected formation energy**: -0.340 eV/atom
# **Distance to the lowest polymorph of the same formula**: 99 kJ/mol of formula units


Entry 12:
# LiSc2Cl | Alexandria via LeMat-Bulk | PBE | optimized geometry
data_LiSc2Cl
_chemical_formula_sum 'Li2 Sc4 Cl2'
_cell_length_a 3.908
_cell_length_b 3.908
_cell_length_c 10.725
_cell_angle_alpha 90.00
_cell_angle_beta 90.00
_cell_angle_gamma 90.00
_space_group_name_H-M_alt 'I -4 m 2'
_space_group_IT_number 119
_space_group_name_Hall 'I -4 -2'
loop_
_atom_site_label
_atom_site_type_symbol
_atom_site_fract_x
_atom_site_fract_y
_atom_site_fract_z
Li1 Li 0.000 0.000 0.000
Sc1 Sc 0.000 0.000 0.500
Sc2 Sc 0.000 0.500 0.750
Cl1 Cl 0.000 0.500 0.250
# **Uncorrected formation energy**: -0.137 eV/atom
# **Distance to the lowest polymorph of the same formula**: 177 kJ/mol of formula units